No. 1
Here is K2HgAu after structural relaxation from Alexandria. Energies are from PBE-GGA.

a b c (Å): 6.6476 4.8735 9.4641
angles (deg): 90.00 109.15 90.00
Space group P2_1/m (No. 11)
Asymmetric unit:
K (0.2012, 0.2500, 0.4231)
K (0.2706, 0.7500, 0.0673)
Hg (0.3584, 0.7500, 0.7182)
Au (0.1580, 0.2500, 0.7841)

Calculated values
Fermi-level density of states = 0.2980 states/eV/atom
E_form = -0.3072 eV per atom
E = -0.129 Ry/atom


No. 2
Here is K12Hg3Au5 after structural relaxation from Alexandria. Energies are from PBE-GGA.

a b c (Å): 20.1063 20.1063 20.1063
angles (deg): 90.00 90.00 90.00
Space group Ia-3d (No. 230)
Asymmetric unit:
K (0.0235, 0.0667, 0.6495)
Hg (0.0000, 0.2500, 0.1250)
Au (0.0000, 0.0000, 0.0000)
Au (0.0000, 0.2500, 0.3750)

Calculated values
Fermi-level density of states = 1.0028 states/eV/atom
E_form = -0.1093 eV per atom
E = -0.120 Ry/atom


Question: Number 1 is which compound?
Answer: K2HgAu


Question: Number 2 is which compound?
Answer: K12Hg3Au5


Question: Fermi-level density of states of number 2 (K12Hg3Au5)?
Answer: 1.0028 states/eV/atom